1.
Here is a relaxed SnB2Se crystal from Alexandria via LeMat-Bulk. Energies are from PBE-GGA.

a b c (Å): 6.2580 6.2580 6.2580
angles (deg): 90.00 90.00 90.00
Closest atoms and distances in Å follow each position.
Space group Fm-3m (No. 225)
Inequivalent atoms, fractional coordinates:
Sn 0.0000 0.0000 0.0000 x4  8 B 2.71
B 0.2500 0.2500 0.2500 x8  4 Se 2.71, 4 Sn 2.71
Se 0.0000 0.0000 0.5000 x4  8 B 2.71

Results
Density of states at the Fermi level = 11.7 states/eV per cell
ΔE_f (raw) = 1.61 eV/atom


2.
Here is a relaxed SnB3Se crystal from Alexandria via LeMat-Bulk. Energies are from PBE-GGA.

a b c (Å): 4.5384 4.5384 4.5384
angles (deg): 90.00 90.00 90.00
Closest atoms and distances in Å follow each position.
Space group Pm-3m (No. 221)
Inequivalent atoms, fractional coordinates:
Sn 0.0000 0.0000 0.0000 x1  6 B 2.27
B 0.0000 0.0000 0.5000 x3  2 Sn 2.27
Se 0.5000 0.5000 0.5000 x1  12 B 3.21

Results
Density of states at the Fermi level = 2.9 states/eV per cell
ΔE_f (raw) = 2.07 eV/atom


3.
Here is a relaxed SnBSe3 crystal from Alexandria via LeMat-Bulk. Energies are from PBE-GGA.

a b c (Å): 5.2825 5.2825 5.2825
angles (deg): 90.00 90.00 90.00
Closest atoms and distances in Å follow each position.
Space group Pm-3m (No. 221)
Inequivalent atoms, fractional coordinates:
Sn 0.0000 0.0000 0.0000 x1  6 Se 2.64
B 0.5000 0.5000 0.5000 x1  12 Se 3.74
Se 0.0000 0.0000 0.5000 x3  2 Sn 2.64

Results
Density of states at the Fermi level = 3.8 states/eV per cell
ΔE_f (raw) = 1.24 eV/atom


4.
Here is a relaxed Sn2BSe crystal from Alexandria via LeMat-Bulk. Energies are from PBE-GGA.

a b c (Å): 5.9233 5.9233 11.2275
angles (deg): 90.00 90.00 90.00
Closest atoms and distances in Å follow each position.
Space group I-42d (No. 122)
Inequivalent atoms, fractional coordinates:
Sn 0.1680 0.2500 0.1250 x8  2 B 2.27
B 0.0000 0.0000 0.0000 x4  4 Sn 2.27
Se 0.0000 0.0000 0.5000 x4  4 Sn 2.83

Results
Density of states at the Fermi level = 9.9 states/eV per cell
ΔE_f (raw) = 0.22 eV/atom


5.
Here is a relaxed SnBSe2 crystal from Alexandria via LeMat-Bulk. Energies are from PBE-GGA.

a b c (Å): 6.4186 6.4186 8.5554
angles (deg): 90.00 90.00 90.00
Closest atoms and distances in Å follow each position.
Space group I-42d (No. 122)
Inequivalent atoms, fractional coordinates:
Sn 0.0000 0.0000 0.0000 x4  4 Se 3.03
B 0.0000 0.0000 0.5000 x4  4 Se 2.12
Se 0.1358 0.2500 0.6250 x8  2 B 2.12

Results
Density of states at the Fermi level = 2.3 states/eV per cell
ΔE_f (raw) = 0.18 eV/atom


6.
Here is a relaxed SnBSe3 crystal from Alexandria via LeMat-Bulk. Energies are from PBE-GGA.

a b c (Å): 4.6029 4.6029 4.6029
angles (deg): 90.00 90.00 90.00
Closest atoms and distances in Å follow each position.
Space group Pm-3m (No. 221)
Inequivalent atoms, fractional coordinates:
Sn 0.0000 0.0000 0.0000 x1  12 Se 3.25
B 0.5000 0.5000 0.5000 x1  6 Se 2.30
Se 0.0000 0.5000 0.5000 x3  2 B 2.30

Results
Density of states at the Fermi level = 2.3 states/eV per cell
ΔE_f (raw) = 0.39 eV/atom


7.
Here is a relaxed SnBSe2 crystal from Alexandria via LeMat-Bulk. Energies are from PBE-GGA.

a b c (Å): 6.8302 6.8302 6.8302
angles (deg): 90.00 90.00 90.00
Closest atoms and distances in Å follow each position.
Space group Fm-3m (No. 225)
Inequivalent atoms, fractional coordinates:
Sn 0.0000 0.0000 0.0000 x4  8 Se 2.96
B 0.0000 0.0000 0.5000 x4  8 Se 2.96
Se 0.2500 0.2500 0.2500 x8  4 Sn 2.96, 4 B 2.96

Results
Density of states at the Fermi level = 8.8 states/eV per cell
ΔE_f (raw) = 0.92 eV/atom


8.
Here is a relaxed SnBSe2 crystal from Alexandria via LeMat-Bulk. Energies are from PBE-GGA.

a b c (Å): 3.3169 3.3169 25.6133
angles (deg): 90.00 90.00 120.00
Closest atoms and distances in Å follow each position.
Space group R-3m (No. 166, hexagonal axes)
Inequivalent atoms, fractional coordinates:
Sn 0.0000 0.0000 0.0000 x3  2 Se 2.99, 6 Sn 3.32
B 0.0000 0.0000 0.5000 x3  6 Se 2.30
Se 0.0000 0.0000 0.1167 x6  3 B 2.30

Results
Density of states at the Fermi level = 4.5 states/eV per cell
ΔE_f (raw) = 0.33 eV/atom